(1)
KNbAgF6 (GGA-PBE, optimized geometry); VASP energy = -5.298 eV/atom
1.0
6.4561 0.0000 0.0000
-3.2280 5.5911 0.0000
0.0000 0.0000 8.4485
K Nb Ag F
2 2 2 12
Cartesian
0.0000 3.7274 2.1121 K
3.2280 1.8637 6.3364 K
0.0000 3.7274 6.3364 Nb
3.2280 1.8637 2.1121 Nb
0.0000 0.0000 0.0000 Ag
0.0000 0.0000 4.2242 Ag
-0.7830 2.1940 5.2815 F
-1.7195 3.8160 7.3913 F
0.7830 2.1940 7.3913 F
-0.9365 5.1722 5.2815 F
2.2915 0.4189 1.0572 F
1.5085 1.7751 3.1670 F
1.7195 3.8160 5.2815 F
0.9365 5.1722 7.3913 F
4.1645 0.4189 3.1670 F
2.4450 3.3971 1.0572 F
4.9475 1.7751 1.0572 F
4.0110 3.3971 3.1670 F

=====

(2)
CsCa2Ge2 (GGA-PBE, optimized geometry); VASP energy = -3.087 eV/atom; ΔE to the lowest computed polymorph = 0.007 eV/atom
1.0
-2.7504 2.7504 5.4487
2.7504 -2.7504 5.4487
2.7504 2.7504 -5.4487
Cs Ca Ge
1 2 2
Cartesian
0.0000 0.0000 0.0000 Cs
2.7504 0.0000 2.7244 Ca
0.0000 2.7504 2.7244 Ca
0.0000 0.0000 4.1894 Ge
0.0000 0.0000 6.7080 Ge

=====

(3)
Ce2PmCd (GGA-PBE, optimized geometry); VASP energy = -4.377 eV/atom; ΔE to the lowest computed polymorph = 0.024 eV/atom
1.0
3.3413 0.0000 0.0000
0.0000 3.3413 0.0000
0.0000 0.0000 10.2855
Ce Pm Cd
2 1 1
Cartesian
0.0000 0.0000 2.4033 Ce
0.0000 0.0000 7.8822 Ce
1.6706 1.6706 5.1428 Pm
1.6706 1.6706 0.0000 Cd

=====

(4)
Ce4CN3 (GGA-PBE, optimized geometry); VASP energy = -8.389 eV/atom
1.0
5.0889 0.0000 0.0000
0.0000 5.0889 0.0000
0.0000 0.0000 5.0889
Ce C N
4 1 3
Cartesian
0.0000 0.0000 0.0000 Ce
0.0000 2.5444 2.5444 Ce
2.5444 0.0000 2.5444 Ce
2.5444 2.5444 0.0000 Ce
2.5444 2.5444 2.5444 C
0.0000 0.0000 2.5444 N
0.0000 2.5444 0.0000 N
2.5444 0.0000 0.0000 N

=====

(5)
K4MoSe (GGA-PBE, optimized geometry); VASP energy = -2.312 eV/atom
1.0
0.0000 4.9593 4.9593
4.9593 0.0000 4.9593
4.9593 4.9593 0.0000
K Mo Se
4 1 1
Cartesian
3.7344 3.7344 3.7344 K
6.1841 6.1841 3.7344 K
6.1841 3.7344 6.1841 K
3.7344 6.1841 6.1841 K
0.0000 0.0000 0.0000 Mo
7.4389 7.4389 7.4389 Se

=====

(6)
LaY3H (GGA-PBE, optimized geometry); VASP energy = -4.184 eV/atom; ΔE to the lowest computed polymorph = 1.505 eV/atom
1.0
5.7795 0.0000 0.0000
0.0000 5.7795 0.0000
0.0000 0.0000 5.7795
La Y H
1 3 1
Cartesian
0.0000 0.0000 0.0000 La
0.0000 0.0000 2.8898 Y
0.0000 2.8898 0.0000 Y
2.8898 0.0000 0.0000 Y
2.8898 2.8898 2.8898 H

=====

(7)
ZnIrRu2 (GGA-PBE, optimized geometry); VASP energy = -7.130 eV/atom
1.0
2.7429 0.0000 0.0000
0.0000 2.7429 0.0000
0.0000 0.0000 7.5028
Zn Ir Ru
1 1 2
Cartesian
0.0000 0.0000 0.0000 Zn
0.0000 0.0000 3.7514 Ir
1.3715 1.3715 1.8906 Ru
1.3715 1.3715 5.6121 Ru

=====

Number 6 is which compound? LaY3H